Crystalline NaTl2Cd at its relaxed geometry. Source: Alexandria via LeMat-Bulk, functional GGA-PBE.

POSCAR file:
```
NaTl2Cd
1.0
5.021 0.000 0.000
2.510 4.348 0.000
2.510 1.449 5.589
Tl Na Cd
2 1 1
Direct
0.268 0.268 0.197
0.063 0.063 0.811
0.487 0.487 0.538
0.682 0.682 0.954
```

SG: R3m (160)
Formation energy from the elements, eV/atom: -0.022

Crystalline Sm2Ga2Os at its relaxed geometry. Source: Alexandria via LeMat-Bulk, functional GGA-PBE.

POSCAR file:
```
Sm2Ga2Os
1.0
-4.184 0.302 -0.095
-2.270 -3.606 -4.134
-2.725 -6.368 7.126
Sm Ga Os
4 4 2
Direct
0.071 0.735 0.122
0.327 0.680 0.667
0.929 0.265 0.878
0.673 0.320 0.333
0.370 0.146 0.114
0.101 0.243 0.556
0.899 0.757 0.444
0.630 0.854 0.886
0.626 0.086 0.662
0.374 0.914 0.338
```

SG: C2/m (12)
Formation energy from the elements, eV/atom: -0.451

Crystalline NpNbPbO6 at its relaxed geometry. Source: Alexandria via LeMat-Bulk, functional GGA-PBE.

POSCAR file:
```
NpNbPbO6
1.0
5.629 0.000 0.000
-2.815 4.875 0.000
0.000 0.000 10.516
O Np Nb Pb
12 2 2 2
Direct
0.634 0.620 0.646
0.634 0.014 0.854
0.380 0.366 0.854
0.380 0.014 0.646
0.620 0.986 0.354
0.014 0.380 0.146
0.366 0.380 0.354
0.986 0.620 0.854
0.014 0.634 0.354
0.986 0.366 0.646
0.366 0.986 0.146
0.620 0.634 0.146
0.333 0.667 0.750
0.667 0.333 0.250
0.667 0.333 0.750
0.333 0.667 0.250
0.000 0.000 0.000
0.000 0.000 0.500
```

SG: P-31c (163)
E, eV per atom: -8.66

Crystalline NiSb2RuN at its relaxed geometry. Source: Alexandria via LeMat-Bulk, functional GGA-PBE.

POSCAR file:
```
NiSb2RuN
1.0
-2.285 4.168 1.031
-3.237 -1.863 0.356
0.908 -0.672 4.731
Ru N Ni Sb
1 1 1 2
Direct
0.000 0.500 0.000
0.000 0.000 0.000
0.500 0.500 0.500
0.000 0.000 0.500
0.500 0.000 0.000
```

SG: P4/mmm (123)
E, eV per atom: -5.73

Which volume belongs to each record? In order, 122.0, 225.5, 288.6, 88.7 Å³/cell.
Which D(E_F) belongs to each record? In order, 0.36, 0.85, 0.79, 0.45 states/eV/atom.